Entry 1:
# TmGaSb (PBE, relaxed)
# Final energy (eV/atom): -4.25
# Calculated volume (Å³/atom): 24.623
# Total moment (μB per formula unit): 0.0
# Formation energy without anion corrections (eV per formula unit): -1.1
# Excess energy over the best structure of this formula in the dataset (meV/atom): 115
data_TmGaSb
_space_group_name_H-M_alt 'P 3 m 1'
_space_group_IT_number 156
_space_group_name_Hall 'P 3 -2"'
_cell_length_a 4.7266
_cell_length_b 4.7266
_cell_length_c 3.8179
_cell_angle_alpha 90.00
_cell_angle_beta 90.00
_cell_angle_gamma 120.00
loop_
_atom_site_label
_atom_site_type_symbol
_atom_site_fract_x
_atom_site_fract_y
_atom_site_fract_z
Tm1 Tm 0.0000 0.0000 0.0000
Ga1 Ga 0.6667 0.3333 0.6184
Sb1 Sb 0.3333 0.6667 0.4554

Entry 2:
# MnCoW2 (PBE, relaxed)
# Final energy (eV/atom): -9.83
# Energy of formation from the pure elements (kcal/mol of atoms): 16.5
# Calculated volume (Å³/atom): 14.796
# Total moment (μB per formula unit): 2.3
# Excess energy over the best structure of this formula in the dataset (meV/atom): 586
data_MnCoW2
_space_group_name_H-M_alt 'I -4 2 d'
_space_group_IT_number 122
_space_group_name_Hall 'I -4 2bw'
_cell_length_a 6.7641
_cell_length_b 6.7641
_cell_length_c 5.1741
_cell_angle_alpha 90.00
_cell_angle_beta 90.00
_cell_angle_gamma 90.00
loop_
_atom_site_label
_atom_site_type_symbol
_atom_site_fract_x
_atom_site_fract_y
_atom_site_fract_z
Mn1 Mn 0.0000 0.0000 0.0000
Co1 Co 0.0000 0.0000 0.5000
W1 W 0.2310 0.2500 0.6250

Entry 3:
# CsNpMn2I8 (PBE, relaxed)
# Final energy (eV/atom): -4.40
# Calculated volume (Å³/atom): 55.702
# Total moment (μB per formula unit): 6.0
# Formation energy without anion corrections (eV per formula unit): -8.2
data_CsNpMn2I8
_space_group_name_H-M_alt 'P -3 m 1'
_space_group_IT_number 164
_space_group_name_Hall '-P 3 2"'
_cell_length_a 8.6235
_cell_length_b 8.6235
_cell_length_c 10.3791
_cell_angle_alpha 90.00
_cell_angle_beta 90.00
_cell_angle_gamma 120.00
loop_
_atom_site_label
_atom_site_type_symbol
_atom_site_fract_x
_atom_site_fract_y
_atom_site_fract_z
Cs1 Cs 0.0000 0.0000 0.0000
Np1 Np 0.0000 0.0000 0.5000
Mn1 Mn 0.3333 0.6667 0.2214
I1 I 0.1628 0.3257 0.3165
I2 I 0.3333 0.6667 0.9726

Entry 4:
# K4Ho3NpSe8 (PBE, relaxed)
# Final energy (eV/atom): -5.31
# Calculated volume (Å³/atom): 29.622
# Total moment (μB per formula unit): 4.0
# Formation energy without anion corrections (eV per formula unit): -26.0
data_K4Ho3NpSe8
_space_group_name_H-M_alt 'R -3 m'
_space_group_IT_number 166
_space_group_name_Hall '-R 3 2"'
_cell_length_a 8.4429
_cell_length_b 8.4429
_cell_length_c 23.0328
_cell_angle_alpha 90.00
_cell_angle_beta 90.00
_cell_angle_gamma 120.00
loop_
_atom_site_label
_atom_site_type_symbol
_atom_site_fract_x
_atom_site_fract_y
_atom_site_fract_z
K1 K 0.0000 0.0000 0.0000
K2 K 0.0000 0.5000 0.0000
Ho1 Ho 0.0000 0.5000 0.5000
Np1 Np 0.0000 0.0000 0.5000
Se1 Se 0.0000 0.0000 0.2347
Se2 Se 0.0047 0.5024 0.7649

Entry 5:
# La2YPt2I2 (PBE, relaxed)
# Final energy (eV/atom): -5.52
# Calculated volume (Å³/atom): 33.378
# Total moment (μB per formula unit): 0.0
# Formation energy without anion corrections (eV per formula unit): -7.1
data_La2YPt2I2
_space_group_name_H-M_alt 'I 4/m m m'
_space_group_IT_number 139
_space_group_name_Hall '-I 4 2'
_cell_length_a 5.2911
_cell_length_b 5.2911
_cell_length_c 16.6916
_cell_angle_alpha 90.00
_cell_angle_beta 90.00
_cell_angle_gamma 90.00
loop_
_atom_site_label
_atom_site_type_symbol
_atom_site_fract_x
_atom_site_fract_y
_atom_site_fract_z
La1 La 0.0000 0.0000 0.1047
Y1 Y 0.0000 0.0000 0.5000
Pt1 Pt 0.0000 0.5000 0.0000
I1 I 0.0000 0.0000 0.3077

Entry 6:
# InSnGe2 (PBE, relaxed)
# Final energy (eV/atom): -3.81
# Energy of formation from the pure elements (kcal/mol of atoms): 4.2
# Calculated volume (Å³/atom): 24.174
# Total moment (μB per formula unit): 0.0
# Excess energy over the best structure of this formula in the dataset (meV/atom): 42
data_InSnGe2
_space_group_name_H-M_alt 'R -3 m'
_space_group_IT_number 166
_space_group_name_Hall '-R 3 2"'
_cell_length_a 4.1422
_cell_length_b 4.1422
_cell_length_c 19.5224
_cell_angle_alpha 90.00
_cell_angle_beta 90.00
_cell_angle_gamma 120.00
loop_
_atom_site_label
_atom_site_type_symbol
_atom_site_fract_x
_atom_site_fract_y
_atom_site_fract_z
In1 In 0.0000 0.0000 0.0000
Sn1 Sn 0.0000 0.0000 0.5000
Ge1 Ge 0.0000 0.0000 0.2489

Entry 7:
# CaAlFe2Ge (PBE, relaxed)
# Final energy (eV/atom): -3.68
# Energy of formation from the pure elements (kcal/mol of atoms): 41.0
# Calculated volume (Å³/atom): 22.313
# Total moment (μB per formula unit): 4.9
data_CaAlFe2Ge
_space_group_name_H-M_alt 'P 4/m m m'
_space_group_IT_number 123
_space_group_name_Hall '-P 4 2'
_cell_length_a 4.6170
_cell_length_b 4.6170
_cell_length_c 5.2337
_cell_angle_alpha 90.00
_cell_angle_beta 90.00
_cell_angle_gamma 90.00
loop_
_atom_site_label
_atom_site_type_symbol
_atom_site_fract_x
_atom_site_fract_y
_atom_site_fract_z
Ca1 Ca 0.0000 0.0000 0.0000
Al1 Al 0.0000 0.0000 0.5000
Fe1 Fe 0.0000 0.5000 0.0000
Ge1 Ge 0.5000 0.5000 0.5000

Entry 8:
# BaNa2Sn (PBE, relaxed)
# Final energy (eV/atom): -2.27
# Energy of formation from the pure elements (kcal/mol of atoms): -3.0
# Calculated volume (Å³/atom): 43.872
# Total moment (μB per formula unit): 0.0
data_BaNa2Sn
_space_group_name_H-M_alt 'I m m m'
_space_group_IT_number 71
_space_group_name_Hall '-I 2 2'
_cell_length_a 4.0263
_cell_length_b 5.8384
_cell_length_c 14.9308
_cell_angle_alpha 90.00
_cell_angle_beta 90.00
_cell_angle_gamma 90.00
loop_
_atom_site_label
_atom_site_type_symbol
_atom_site_fract_x
_atom_site_fract_y
_atom_site_fract_z
Ba1 Ba 0.0000 0.0000 0.0000
Na1 Na 0.0000 0.0000 0.2955
Sn1 Sn 0.0000 0.0000 0.5000

Entry 9:
# BaLiNdAl (PBE, relaxed)
# Final energy (eV/atom): -3.08
# Energy of formation from the pure elements (kcal/mol of atoms): 0.1
# Calculated volume (Å³/atom): 31.374
# Total moment (μB per formula unit): 0.0
data_BaLiNdAl
_space_group_name_H-M_alt 'F -4 3 m'
_space_group_IT_number 216
_space_group_name_Hall 'F -4 2 3'
_cell_length_a 7.9475
_cell_length_b 7.9475
_cell_length_c 7.9475
_cell_angle_alpha 90.00
_cell_angle_beta 90.00
_cell_angle_gamma 90.00
loop_
_atom_site_label
_atom_site_type_symbol
_atom_site_fract_x
_atom_site_fract_y
_atom_site_fract_z
Ba1 Ba 0.0000 0.0000 0.0000
Li1 Li 0.2500 0.2500 0.2500
Nd1 Nd 0.0000 0.0000 0.5000
Al1 Al 0.2500 0.2500 0.7500

Entry 10:
# Cd2GaCu2 (PBE, relaxed)
# Final energy (eV/atom): -2.47
# Energy of formation from the pure elements (kcal/mol of atoms): 3.3
# Calculated volume (Å³/atom): 18.774
# Total moment (μB per formula unit): 0.0
data_Cd2GaCu2
_space_group_name_H-M_alt 'I 4/m m m'
_space_group_IT_number 139
_space_group_name_Hall '-I 4 2'
_cell_length_a 3.4092
_cell_length_b 3.4092
_cell_length_c 16.1527
_cell_angle_alpha 90.00
_cell_angle_beta 90.00
_cell_angle_gamma 90.00
loop_
_atom_site_label
_atom_site_type_symbol
_atom_site_fract_x
_atom_site_fract_y
_atom_site_fract_z
Cd1 Cd 0.0000 0.0000 0.1135
Ga1 Ga 0.0000 0.0000 0.5000
Cu1 Cu 0.0000 0.5000 0.2500

Entry 11:
# TmThOs (PBE, relaxed)
# Final energy (eV/atom): -7.94
# Energy of formation from the pure elements (kcal/mol of atoms): -5.3
# Calculated volume (Å³/atom): 24.946
# Total moment (μB per formula unit): 0.0
# Excess energy over the best structure of this formula in the dataset (meV/atom): 67
data_TmThOs
_space_group_name_H-M_alt 'A m m 2'
_space_group_IT_number 38
_space_group_name_Hall 'A 2 -2'
_cell_length_a 4.6985
_cell_length_b 12.6984
_cell_length_c 7.5260
_cell_angle_alpha 90.00
_cell_angle_beta 90.00
_cell_angle_gamma 90.00
loop_
_atom_site_label
_atom_site_type_symbol
_atom_site_fract_x
_atom_site_fract_y
_atom_site_fract_z
Tm1 Tm 0.0000 0.0000 0.0000
Tm2 Tm 0.0000 0.2069 0.3902
Th1 Th 0.5000 0.0000 0.3288
Th2 Th 0.5000 0.1350 0.7198
Os1 Os 0.0000 0.0000 0.5924
Os2 Os 0.5000 0.1630 0.0847

Entry 12:
# KZrBr4 (PBE, relaxed)
# Final energy (eV/atom): -4.19
# Calculated volume (Å³/atom): 31.648
# Total moment (μB per formula unit): 0.0
# Formation energy without anion corrections (eV per formula unit): -8.8
# Excess energy over the best structure of this formula in the dataset (meV/atom): 0
data_KZrBr4
_space_group_name_H-M_alt 'C 1 2/c 1'
_space_group_IT_number 15
_space_group_name_Hall '-C 2yc'
_cell_length_a 8.7422
_cell_length_b 14.1988
_cell_length_c 6.3658
_cell_angle_alpha 90.00
_cell_angle_beta 106.00
_cell_angle_gamma 90.00
loop_
_atom_site_label
_atom_site_type_symbol
_atom_site_fract_x
_atom_site_fract_y
_atom_site_fract_z
K1 K 0.0000 0.1359 0.2500
Zr1 Zr 0.0000 0.4999 0.2500
Br1 Br 0.1039 0.3462 0.5396
Br2 Br 0.2362 0.0635 0.9015

Entry 13:
# Mg3AlAs (PBE, relaxed)
# Final energy (eV/atom): -2.18
# Energy of formation from the pure elements (kcal/mol of atoms): 10.6
# Calculated volume (Å³/atom): 26.340
# Total moment (μB per formula unit): 0.0
# Excess energy over the best structure of this formula in the dataset (meV/atom): 316
data_Mg3AlAs
_space_group_name_H-M_alt 'P m -3 m'
_space_group_IT_number 221
_space_group_name_Hall '-P 4 2 3'
_cell_length_a 5.0878
_cell_length_b 5.0878
_cell_length_c 5.0878
_cell_angle_alpha 90.00
_cell_angle_beta 90.00
_cell_angle_gamma 90.00
loop_
_atom_site_label
_atom_site_type_symbol
_atom_site_fract_x
_atom_site_fract_y
_atom_site_fract_z
Mg1 Mg 0.0000 0.0000 0.5000
Al1 Al 0.0000 0.0000 0.0000
As1 As 0.5000 0.5000 0.5000

Entry 14:
# BaSrInAs2 (PBE, relaxed)
# Final energy (eV/atom): -3.79
# Energy of formation from the pure elements (kcal/mol of atoms): -15.4
# Calculated volume (Å³/atom): 35.222
# Total moment (μB per formula unit): 0.0
data_BaSrInAs2
_space_group_name_H-M_alt 'P 1 2/c 1'
_space_group_IT_number 13
_space_group_name_Hall '-P 2yc'
_cell_length_a 7.5770
_cell_length_b 5.6029
_cell_length_c 8.5280
_cell_angle_alpha 90.00
_cell_angle_beta 103.37
_cell_angle_gamma 90.00
loop_
_atom_site_label
_atom_site_type_symbol
_atom_site_fract_x
_atom_site_fract_y
_atom_site_fract_z
Ba1 Ba 0.0000 0.1857 0.2500
Sr1 Sr 0.5000 0.4850 0.7500
In1 In 0.5000 0.0000 0.0000
As1 As 0.2258 0.2849 0.9494

Entry 15:
# Ac4Nd2Sn3O2 (PBE, relaxed)
# Final energy (eV/atom): -5.70
# Calculated volume (Å³/atom): 31.249
# Total moment (μB per formula unit): 0.0
# Formation energy without anion corrections (eV per formula unit): -14.8
data_Ac4Nd2Sn3O2
_space_group_name_H-M_alt 'I 4/m m m'
_space_group_IT_number 139
_space_group_name_Hall '-I 4 2'
_cell_length_a 5.0780
_cell_length_b 5.0780
_cell_length_c 26.6605
_cell_angle_alpha 90.00
_cell_angle_beta 90.00
_cell_angle_gamma 90.00
loop_
_atom_site_label
_atom_site_type_symbol
_atom_site_fract_x
_atom_site_fract_y
_atom_site_fract_z
Ac1 Ac 0.0000 0.5000 0.0845
Nd1 Nd 0.0000 0.0000 0.1980
Sn1 Sn 0.0000 0.0000 0.3197
Sn2 Sn 0.0000 0.0000 0.5000
O1 O 0.0000 0.0000 0.1069

Entry 16:
# LiMo2Rh9 (PBE, relaxed)
# Final energy (eV/atom): -7.57
# Energy of formation from the pure elements (kcal/mol of atoms): -2.1
# Calculated volume (Å³/atom): 14.310
# Total moment (μB per formula unit): 0.0
data_LiMo2Rh9
_space_group_name_H-M_alt 'R -3'
_space_group_IT_number 148
_space_group_name_Hall '-R 3'
_cell_length_a 4.7516
_cell_length_b 4.7516
_cell_length_c 26.3455
_cell_angle_alpha 90.00
_cell_angle_beta 90.00
_cell_angle_gamma 120.00
loop_
_atom_site_label
_atom_site_type_symbol
_atom_site_fract_x
_atom_site_fract_y
_atom_site_fract_z
Li1 Li 0.0000 0.0000 0.0000
Mo1 Mo 0.0000 0.0000 0.1651
Rh1 Rh 0.0000 0.0000 0.3331
Rh2 Rh 0.0000 0.0000 0.5000
Rh3 Rh 0.0029 0.6637 0.4171

Entry 17:
# Sr2BiBr (PBE, relaxed)
# Final energy (eV/atom): -3.50
# Calculated volume (Å³/atom): 40.301
# Total moment (μB per formula unit): 0.0
# Formation energy without anion corrections (eV per formula unit): -5.1
data_Sr2BiBr
_space_group_name_H-M_alt 'R 3 m'
_space_group_IT_number 160
_space_group_name_Hall 'R 3 -2"'
_cell_length_a 4.7864
_cell_length_b 4.7864
_cell_length_c 24.3756
_cell_angle_alpha 90.00
_cell_angle_beta 90.00
_cell_angle_gamma 120.00
loop_
_atom_site_label
_atom_site_type_symbol
_atom_site_fract_x
_atom_site_fract_y
_atom_site_fract_z
Sr1 Sr 0.0000 0.0000 0.0000
Sr2 Sr 0.0000 0.0000 0.1873
Bi1 Bi 0.0000 0.0000 0.5943
Br1 Br 0.0000 0.0000 0.7684

Entry 18:
# LiCa6Pd2 (PBE, relaxed)
# Final energy (eV/atom): -3.08
# Energy of formation from the pure elements (kcal/mol of atoms): -8.7
# Calculated volume (Å³/atom): 30.485
# Total moment (μB per formula unit): 0.0
data_LiCa6Pd2
_space_group_name_H-M_alt 'I m m m'
_space_group_IT_number 71
_space_group_name_Hall '-I 2 2'
_cell_length_a 9.7905
_cell_length_b 10.0323
_cell_length_c 11.1735
_cell_angle_alpha 90.00
_cell_angle_beta 90.00
_cell_angle_gamma 90.00
loop_
_atom_site_label
_atom_site_type_symbol
_atom_site_fract_x
_atom_site_fract_y
_atom_site_fract_z
Li1 Li 0.0000 0.0000 0.0000
Li2 Li 0.0000 0.0000 0.5000
Ca1 Ca 0.0000 0.2007 0.2410
Ca2 Ca 0.1809 0.5000 0.1618
Ca3 Ca 0.2082 0.3213 0.5000
Pd1 Pd 0.0000 0.3102 0.0000
Pd2 Pd 0.0000 0.5000 0.3708

Entry 19:
# AgPbAu2Br6 (PBE, relaxed)
# Final energy (eV/atom): -2.62
# Calculated volume (Å³/atom): 31.592
# Total moment (μB per formula unit): 0.0
# Formation energy without anion corrections (eV per formula unit): -3.0
data_AgPbAu2Br6
_space_group_name_H-M_alt 'P 1'
_space_group_IT_number 1
_space_group_name_Hall 'P 1'
_cell_length_a 7.2823
_cell_length_b 7.2946
_cell_length_c 8.0160
_cell_angle_alpha 63.25
_cell_angle_beta 63.40
_cell_angle_gamma 60.22
loop_
_atom_site_label
_atom_site_type_symbol
_atom_site_fract_x
_atom_site_fract_y
_atom_site_fract_z
Ag1 Ag 0.0000 0.0000 0.0000
Pb1 Pb 0.4997 0.5001 0.5000
Au1 Au 0.2494 0.2552 0.2438
Au2 Au 0.7507 0.7455 0.7554
Br1 Br 0.0919 0.3883 0.7563
Br2 Br 0.2380 0.9101 0.2416
Br3 Br 0.3890 0.7647 0.7562
Br4 Br 0.6108 0.2362 0.2430
Br5 Br 0.7627 0.0902 0.7574
Br6 Br 0.9076 0.6118 0.2424

Entry 20:
# KHgOs2 (PBE, relaxed)
# Final energy (eV/atom): -4.63
# Energy of formation from the pure elements (kcal/mol of atoms): 30.7
# Calculated volume (Å³/atom): 26.982
# Total moment (μB per formula unit): 1.2
data_KHgOs2
_space_group_name_H-M_alt 'I -4 2 d'
_space_group_IT_number 122
_space_group_name_Hall 'I -4 2bw'
_cell_length_a 4.6463
_cell_length_b 4.6463
_cell_length_c 19.9977
_cell_angle_alpha 90.00
_cell_angle_beta 90.00
_cell_angle_gamma 90.00
loop_
_atom_site_label
_atom_site_type_symbol
_atom_site_fract_x
_atom_site_fract_y
_atom_site_fract_z
K1 K 0.0000 0.0000 0.0000
Hg1 Hg 0.0000 0.0000 0.5000
Os1 Os 0.0566 0.7500 0.6250